The following is a DFT calculation (PBE-GGA) of a relaxed structure of Sm3DyCo8.

Magnetic moment   0.630 μB/atom
Crystal system   trigonal

Unit cell a=5.1178 b=5.1178 c=8.8686 alpha=73.23 beta=73.23 gamma=60.00
Fractional positions:
Sm  0.9999  0.9999  0.0002
Co  0.9353  0.4373  0.1901
Dy  0.8751  0.8751  0.3746
Co  0.4373  0.4373  0.1901
Co  0.9373  0.9373  0.6850
Co  0.6874  0.6874  0.9377
Co  0.4373  0.9353  0.1901
Sm  0.5000  0.5000  0.5000
Co  0.1878  0.1878  0.4367
Co  0.4405  0.9373  0.6850
Co  0.9373  0.4405  0.6850
Sm  0.3749  0.3749  0.8754

The following is a DFT calculation (PBE-GGA) of a relaxed structure of Sm2DyCo2.

Distance to the lowest polymorph of the same formula   39 meV per atom
Magnetic moment   0.000 μB/atom
Crystal system   tetragonal

Unit cell a=7.2698 b=7.2698 c=8.5371 alpha=90.00 beta=90.00 gamma=90.00
Fractional positions:
Co  0.6095  0.1095  0.2500
Sm  0.3255  0.1744  0.5000
Sm  0.6744  0.8255  0.0000
Sm  0.8256  0.3255  0.5000
Co  0.8905  0.6095  0.7500
Sm  0.8255  0.3256  0.0000
Sm  0.1744  0.6745  0.5000
Dy  0.0000  0.0000  0.7500
Sm  0.3256  0.1745  0.0000
Co  0.1095  0.3905  0.2500
Dy  0.5000  0.5000  0.2500
Co  0.6095  0.1095  0.7500
Sm  0.1745  0.6744  0.0000
Sm  0.6745  0.8256  0.5000
Dy  0.0000  0.0000  0.2500
Co  0.3905  0.8905  0.7500
Dy  0.5000  0.5000  0.7500
Co  0.8905  0.6095  0.2500
Co  0.3905  0.8905  0.2500
Co  0.1095  0.3905  0.7500

no.,calculated total energy (eV/atom)
1,-6.42
2,-5.73